Computed, not measured: an optimized crystal structure of U4Ni6Ru7 at the PBE level of DFT.

Results
- M_tot: 0.050 μB per atom
- Energy of formation from the pure elements: -0.227 eV/atom
- Symmetry: Im-3m, No. 229
- E_tot: -8.743 eV per atom
- Calculated volume: 259 Å³ per cell

Lattice parameters (Å, degrees): 6.956 6.956 6.956 109.47 109.47 109.47
Fractional positions:
U 0.500 0.000 0.000
U 0.000 0.000 0.500
U 0.500 0.500 0.500
U 0.000 0.500 0.000
Ni 0.297 0.000 0.297
Ni 0.000 0.703 0.703
Ni 0.297 0.297 0.000
Ni 0.703 0.703 0.000
Ni 0.703 0.000 0.703
Ni 0.000 0.297 0.297
Ru 0.000 0.000 0.000
Ru 0.250 0.750 0.500
Ru 0.750 0.500 0.250
Ru 0.750 0.250 0.500
Ru 0.500 0.250 0.750
Ru 0.500 0.750 0.250
Ru 0.250 0.500 0.750